No. 1
# SrTa2In (SCAN, PBEsol geometry)
# - Uncorrected energy: -46.8062 eV/atom
# - ΔH_f (0 K): 0.401 eV per atom
data_SrTa2In
_space_group_name_H-M_alt 'P 1'
_space_group_IT_number 1
_cell_length_a 3.002
_cell_length_b 3.002
_cell_length_c 10.023
_cell_angle_alpha 90.00
_cell_angle_beta 90.00
_cell_angle_gamma 103.90
loop_
_space_group_symop_operation_xyz
'x,y,z'
loop_
_atom_site_label
_atom_site_fract_x
_atom_site_fract_y
_atom_site_fract_z
Ta1 0.000 0.000 0.966
Ta2 0.500 0.500 0.759
Sr1 0.500 0.500 0.248
In1 0.000 0.000 0.527

---

No. 2
# SrTa2In (SCAN, PBEsol geometry)
# - Uncorrected energy: -46.5017 eV/atom
# - ΔH_f (0 K): 0.705 eV per atom
data_SrTa2In
_space_group_name_H-M_alt 'P 1'
_space_group_IT_number 1
_cell_length_a 4.959
_cell_length_b 4.959
_cell_length_c 4.959
_cell_angle_alpha 60.00
_cell_angle_beta 60.00
_cell_angle_gamma 60.00
loop_
_space_group_symop_operation_xyz
'x,y,z'
loop_
_atom_site_label
_atom_site_fract_x
_atom_site_fract_y
_atom_site_fract_z
In1 0.500 0.500 0.500
Ta1 0.750 0.750 0.750
Ta2 0.000 0.000 0.000
Sr1 0.250 0.250 0.250

---

No. 3
# Sr3TaIn (SCAN, PBEsol geometry)
# - Uncorrected energy: -32.4062 eV/atom
# - ΔH_f (0 K): 0.953 eV per atom
data_Sr3TaIn
_space_group_name_H-M_alt 'P 1'
_space_group_IT_number 1
_cell_length_a 5.800
_cell_length_b 5.800
_cell_length_c 5.800
_cell_angle_alpha 90.00
_cell_angle_beta 90.00
_cell_angle_gamma 90.00
loop_
_space_group_symop_operation_xyz
'x,y,z'
loop_
_atom_site_label
_atom_site_fract_x
_atom_site_fract_y
_atom_site_fract_z
Sr1 0.000 0.500 0.000
Sr2 0.500 0.000 0.000
Sr3 0.000 0.000 0.500
In1 0.500 0.500 0.500
Ta1 0.000 0.000 0.000

---

No. 4
# Sr2TaIn (SCAN, PBEsol geometry)
# - Uncorrected energy: -35.3698 eV/atom
# - ΔH_f (0 K): 0.760 eV per atom
data_Sr2TaIn
_space_group_name_H-M_alt 'P 1'
_space_group_IT_number 1
_cell_length_a 3.273
_cell_length_b 5.948
_cell_length_c 5.861
_cell_angle_alpha 99.34
_cell_angle_beta 90.00
_cell_angle_gamma 105.97
loop_
_space_group_symop_operation_xyz
'x,y,z'
loop_
_atom_site_label
_atom_site_fract_x
_atom_site_fract_y
_atom_site_fract_z
Ta1 0.000 0.000 0.500
In1 0.500 0.000 0.000
Sr1 0.251 0.501 0.254
Sr2 0.749 0.499 0.746

---

No. 5
# SrTaIn (SCAN, PBEsol geometry)
# - Uncorrected energy: -39.6642 eV/atom
# - Energy relative to the lowest polymorph listed for this composition: 677 meV per atom
# - ΔH_f (0 K): 1.084 eV per atom
data_SrTaIn
_space_group_name_H-M_alt 'P 1'
_space_group_IT_number 1
_cell_length_a 4.958
_cell_length_b 4.958
_cell_length_c 4.958
_cell_angle_alpha 60.00
_cell_angle_beta 60.00
_cell_angle_gamma 60.00
loop_
_space_group_symop_operation_xyz
'x,y,z'
loop_
_atom_site_label
_atom_site_fract_x
_atom_site_fract_y
_atom_site_fract_z
In1 0.000 0.000 0.000
Ta1 0.750 0.750 0.750
Sr1 0.500 0.500 0.500

---

No. 6
# SrTa2In (SCAN, PBEsol geometry)
# - Uncorrected energy: -46.5065 eV/atom
# - ΔH_f (0 K): 0.701 eV per atom
data_SrTa2In
_space_group_name_H-M_alt 'P 1'
_space_group_IT_number 1
_cell_length_a 3.085
_cell_length_b 4.332
_cell_length_c 7.127
_cell_angle_alpha 90.00
_cell_angle_beta 90.00
_cell_angle_gamma 90.00
loop_
_space_group_symop_operation_xyz
'x,y,z'
loop_
_atom_site_label
_atom_site_fract_x
_atom_site_fract_y
_atom_site_fract_z
Sr1 0.500 0.500 0.500
Ta1 0.000 0.000 0.821
Ta2 0.000 0.000 0.179
In1 0.500 0.500 0.000